# 1
Compound: TePbCS2
Source: Alexandria
Functional: PBE-GGA
Structure: optimized geometry

Lattice parameters (Å, degrees): 5.320 5.320 4.500 90.00 90.00 90.00
Element x y z (fractional)
Te  0.000  0.000  0.000
Pb  0.500  0.500  0.500
C  0.000  0.000  0.500
S  0.000  0.500  0.000
S  0.500  0.000  0.000

Calculated values
- space group = P4/mmm, No. 123
- raw formation energy (meV/atom) = 1023

---

# 2
Compound: TlPb2CS
Source: Alexandria
Functional: PBE-GGA
Structure: optimized geometry

Lattice parameters (Å, degrees): 5.261 5.261 4.586 90.00 90.00 90.00
Element x y z (fractional)
Tl  0.000  0.000  0.000
Pb  0.000  0.500  0.500
Pb  0.500  0.000  0.500
C  0.000  0.000  0.500
S  0.500  0.500  0.000

Calculated values
- space group = P4/mmm, No. 123
- raw formation energy (meV/atom) = 803

---

Record order is preserved below.
Raw total energy: -19.22; -19.12 eV/f.u.
Record order is preserved below.
Size of the total moment: 1.726; 0.000 μB per formula unit
Record order is preserved below.
DOS(E_F): 1.45; 2.20 states/eV/cell